[1]
Material: Mg6Zn7
Method: DFT, PBE
State: optimized geometry

Cell: 10.803 10.803 10.803 Å, 27.34 27.34 27.34°
Sites, in units of the cell vectors:
Zn  0.909  0.407  0.407
Zn  0.500  0.500  0.500
Zn  0.407  0.909  0.407
Zn  0.091  0.593  0.593
Zn  0.593  0.091  0.593
Zn  0.593  0.593  0.091
Zn  0.407  0.407  0.909
Mg  0.046  0.046  0.046
Mg  0.851  0.851  0.851
Mg  0.665  0.665  0.665
Mg  0.335  0.335  0.335
Mg  0.954  0.954  0.954
Mg  0.149  0.149  0.149

Output
The formation energy is -1.3 eV per formula unit.


[2]
Material: ZnSi2Se
Method: DFT, PBE
State: optimized geometry

Cell: 5.170 2.709 4.936 Å, 90.03 90.00 90.00°
Sites, in units of the cell vectors:
Zn  0.000  0.598  0.625
Si  0.500  0.992  0.125
Si  0.000  0.128  0.125
Se  0.500  0.782  0.625

Output
The formation energy from raw total energies comes out at 0.2094 eV per atom. As for the polymorph energy (0 for the lowest one): 197 meV per atom.


[3]
Material: Rb2LaFeI6
Method: DFT, PBE
State: optimized geometry

Cell: 8.482 8.482 8.482 Å, 60.00 60.00 90.00°
Site moments in Bohr magnetons follow the coordinates.
Sites, in units of the cell vectors:
Rb  0.250  0.750  0.500  0.00
Rb  0.750  0.250  0.500  0.00
I  0.263  0.737  0.000  0.02
I  0.737  0.263  0.000  0.02
I  0.737  0.737  0.000  0.02
I  0.737  0.737  0.525  0.02
I  0.263  0.263  0.475  0.02
I  0.263  0.263  0.000  0.02
Fe  0.500  0.500  0.000  2.88
La  0.000  0.000  0.000  -0.04

Output
The formation energy from raw total energies comes out at -1.0346 eV per atom.


[4]
Material: Bi3PtF
Method: DFT, PBE
State: optimized geometry

Cell: 5.455 5.455 5.455 Å, 90.00 90.00 90.00°
Site moments in Bohr magnetons follow the coordinates.
Sites, in units of the cell vectors:
Pt  0.000  0.000  0.000  0.08
Bi  0.000  0.000  0.500  0.30
Bi  0.500  0.000  0.000  0.06
Bi  0.000  0.500  0.000  0.10
F  0.500  0.500  0.500  0.16

Output
The formation energy from raw total energies comes out at 0.1143 eV per atom. As for the polymorph energy (0 for the lowest one): 153 meV per atom.


[5]
Material: Ga12Ag6Pd
Method: DFT, PBE
State: optimized geometry

Cell: 7.113 7.113 7.113 Å, 98.35 98.35 98.35°
Sites, in units of the cell vectors:
Ag  0.075  0.286  0.739
Ag  0.925  0.714  0.261
Ag  0.286  0.739  0.075
Ag  0.261  0.925  0.714
Ag  0.714  0.261  0.925
Ag  0.739  0.075  0.286
Ga  0.540  0.497  0.198
Ga  0.620  0.870  0.904
Ga  0.096  0.380  0.130
Ga  0.198  0.540  0.497
Ga  0.870  0.904  0.620
Ga  0.460  0.503  0.802
Ga  0.904  0.620  0.870
Ga  0.503  0.802  0.460
Ga  0.497  0.198  0.540
Ga  0.130  0.096  0.380
Ga  0.380  0.130  0.096
Ga  0.802  0.460  0.503
Pd  0.000  0.000  0.000

Output
The formation energy is -0.2 eV per formula unit.


[6]
Material: MnCrOs4
Method: DFT, PBE
State: optimized geometry

Cell: 5.777 5.679 5.570 Å, 90.00 90.00 89.90°
Sites, in units of the cell vectors:
Os  0.231  0.000  0.500
Os  0.231  0.500  0.500
Os  0.266  0.500  0.000
Os  0.734  0.500  0.000
Os  0.769  0.000  0.500
Os  0.266  0.000  0.000
Os  0.734  0.000  0.000
Os  0.769  0.500  0.500
Mn  0.000  0.250  0.791
Mn  0.000  0.750  0.209
Cr  0.500  0.250  0.288
Cr  0.500  0.750  0.712

Output
The formation energy is 3.4 eV per formula unit. As for the polymorph energy (0 for the lowest one): 432 meV per atom.


For each record above, in turn, the calculated N(E_F) values are 3.2; 1.2; 10.7; 8.4; 6.5; 13.5 states/eV per cell.
For each record above, in turn, the calculated calculated volume values are 18.1; 17.3; 43.1; 32.5; 18.3; 15.2 Å³/atom.